Density functional theory data (PBE-GGA) for a relaxed structure of Li2Ag5Au4.

The value obtained for the mass density is 11.14 g/cm³. The calculation puts the calculated volume at 18.17 A^3/atom. The value obtained for the energy relative to the elements is -7 kJ/mol of atoms.

Cell lengths 2.837, 7.596, 10.124 Å; angles 112.03, 98.05, 90.00 degrees
Positions (direct):
Li 0.591 0.591 0.182
Li 0.409 0.409 0.818
Ag 0.148 0.345 0.295
Ag 0.852 0.655 0.705
Ag 0.148 0.951 0.295
Ag 0.500 0.000 0.000
Ag 0.852 0.049 0.705
Au 0.724 0.724 0.448
Au 0.000 0.313 0.000
Au 0.276 0.276 0.552
Au 0.000 0.687 0.000